AcScHg4, optimized geometry, DFT PBE; excess energy over the best structure of this formula in the dataset = 0.000 eV/atom; magnetization = 0.00 μB/atom; volume = 156.4 Å³/f.u.; E_form = -0.177 eV/atom
1.0
0.0000 4.2764 4.2764
4.2764 0.0000 4.2764
4.2764 4.2764 0.0000
Ac Sc Hg
1 1 4
direct
0.0000 0.0000 0.0000
0.2500 0.2500 0.2500
0.1268 0.6244 0.6244
0.6244 0.1268 0.6244
0.6244 0.6244 0.1268
0.6244 0.6244 0.6244